No. 1
First-principles (PBE) data for an optimized crystal structure of Rb2BaNbTe4, as listed in Alexandria.

Symmetry: I-4

Cell: 7.9772 7.9772 7.9772 Å, 105.77 111.36 111.36°
Closest atoms and distances in Å follow each position.
Fractional coordinates of all 8 atoms:
Rb  0.5000  0.7500  0.2500  4 Te 3.53
Te  0.3587  0.8326  0.8194  1 Nb 2.68
Nb  0.0000  0.5000  0.5000  4 Te 2.68
Ba  0.5000  0.2500  0.7500  4 Te 3.37
Rb  0.0000  0.0000  0.0000  8 Te 4.10-4.32
Te  0.9867  0.5260  0.1674  1 Nb 2.68
Te  0.0133  0.1806  0.5393  1 Nb 2.68
Te  0.6413  0.4607  0.4740  1 Nb 2.68

---

No. 2
First-principles (PBE) data for an optimized crystal structure of Tc2SbPt, as listed in Alexandria.

Symmetry: P2/m

Cell: 4.1207 2.9406 5.8257 Å, 72.77 90.00 90.00°
Closest atoms and distances in Å follow each position.
Fractional coordinates of all 4 atoms:
Tc  0.0000  0.6264  0.4727  1 Tc 2.48, 2 Sb 2.71
Sb  0.5000  0.7500  0.7500  4 Tc 2.71, 2 Pt 2.85, 2 Sb 2.94
Pt  0.5000  0.2500  0.2500  8 Tc 2.81-2.83, 2 Sb 2.85, 2 Pt 2.94
Tc  0.0000  0.8736  0.0273  1 Tc 2.48, 2 Sb 2.71

---

| no. | E_form (uncorrected) (meV per atom) |
| --- | --- |
| 1 | -804.6 |
| 2 | 195.9 |